Below is a geometry-optimized Y2Ga4IrPt structure, with properties calculated at the GGA-PBE level.

a b c (Å): 6.816 4.302 10.220
angles (deg): 90.00 90.00 90.00
Space group Amm2 (No. 38)
One atom of each set of equivalent atoms:
Y (0.000, 0.000, 0.000)
Y (0.500, 0.000, 0.158)
Ga (0.195, 0.000, 0.714)
Ga (0.302, 0.000, 0.443)
Ir (0.000, 0.000, 0.287)
Pt (0.500, 0.000, 0.870)

Values from the calculation:
Calculated volume: 18.73 A^3/atom
Final energy: -5.8397 eV/atom

---

Below is a geometry-optimized YPdW structure, with properties calculated at the GGA-PBE level.

a b c (Å): 6.559 6.559 6.559
angles (deg): 90.00 90.00 90.00
Space group F-43m (No. 216)
One atom of each set of equivalent atoms:
Y (0.000, 0.000, 0.000)
Pd (0.250, 0.250, 0.750)
W (0.250, 0.250, 0.250)

Values from the calculation:
Calculated volume: 23.51 A^3/atom
Calculated formation energy: 1.268 eV/atom
Final energy: -6.9322 eV/atom

---

> The lowest final energy belongs to which entry?

YPdW

---

> Look up the calculated volume of the second one.

23.51 A^3/atom

---

> Which value of final energy does entry 2 give?

-6.9322 eV/atom

---

> Look up the final energy of the first one.

-5.8397 eV/atom